# CrBPt2N | Alexandria via LeMat-Bulk | PBE | relaxed
data_CrBPt2N
_chemical_formula_sum 'Cr1 B1 Pt2 N1'
_symmetry_space_group_name_H-M 'P 4/m m m'
_symmetry_Int_Tables_number 123
_symmetry_space_group_name_Hall '-P 4 2'
_cell_length_a 4.199
_cell_length_b 4.199
_cell_length_c 3.676
_cell_angle_alpha 90.00
_cell_angle_beta 90.00
_cell_angle_gamma 90.00
loop_
_atom_site_label
_atom_site_type_symbol
_atom_site_fract_x
_atom_site_fract_y
_atom_site_fract_z
Cr1 Cr 0.000 0.000 0.000
B1 B 0.500 0.500 0.000
Pt1 Pt 0.000 0.500 0.500
N1 N 0.000 0.000 0.500
# total DFT energy (no corrections): -6.4896 eV/atom
# DOS(E_F): 0.5419 states/eV per atom
# density: 12.0 g/cm3

=====

# CrBSN2 | Alexandria via LeMat-Bulk | PBE | relaxed
data_CrBSN2
_chemical_formula_sum 'Cr1 B1 S1 N2'
_symmetry_space_group_name_H-M 'P 4/m m m'
_symmetry_Int_Tables_number 123
_symmetry_space_group_name_Hall '-P 4 2'
_cell_length_a 3.127
_cell_length_b 3.127
_cell_length_c 6.479
_cell_angle_alpha 90.00
_cell_angle_beta 90.00
_cell_angle_gamma 90.00
loop_
_atom_site_label
_atom_site_type_symbol
_atom_site_fract_x
_atom_site_fract_y
_atom_site_fract_z
Cr1 Cr 0.000 0.000 0.000
B1 B 0.500 0.500 0.500
S1 S 0.500 0.500 0.000
N1 N 0.000 0.500 0.500
# total DFT energy (no corrections): -6.3874 eV/atom
# DOS(E_F): 1.0949 states/eV per atom
# density: 3.2 g/cm3
# offset from the most stable computed form: 0.0 kJ/mol of atoms